A plane-wave DFT calculation with PBE was carried out for crystalline Na2CdSn2 at its relaxed geometry.

Summary:
- ΔE_f (eV per atom) = -0.01
- distance to the lowest polymorph of the same formula (eV/atom) = 0.122
- V (Å³ per cell) = 291.65

Lattice parameters (Å, degrees): 9.513 9.513 3.223 90.00 90.00 90.00
Space group P4/mbm (No. 127)
Inequivalent atoms, fractional coordinates:
1 Na 0.189 0.311 0.000 x4
2 Cd 0.000 0.000 0.000 x2
3 Sn 0.107 0.607 0.500 x4